Compound: Sr4DyV3O12
Source: the Alexandria database
Functional: GGA+U
Structure: optimized geometry

Structure (POSCAR):
```
Sr4DyV3O12
1.0
-4.015 4.015 4.015
4.015 -4.015 4.015
4.015 4.015 -4.015
Sr Dy V O
4 1 3 12
direct
0.000 0.000 0.500
0.000 0.500 0.000
0.500 0.000 0.000
0.500 0.500 0.500
0.000 0.000 0.000
0.000 0.500 0.500
0.500 0.000 0.500
0.500 0.500 0.000
0.000 0.269 0.269
0.000 0.731 0.731
0.250 0.500 0.750
0.250 0.750 0.500
0.269 0.000 0.269
0.269 0.269 0.000
0.500 0.250 0.750
0.500 0.750 0.250
0.731 0.000 0.731
0.731 0.731 0.000
0.750 0.250 0.500
0.750 0.500 0.250
```

Results
**Density**: 5500 kg/m3
**Electronic total energy**: -7.24 eV/atom
**Crystal system**: cubic